Entry 1:
A plane-wave DFT calculation with GGA-PBE was carried out for crystalline KSb4F13 at its relaxed geometry.

Computed properties:
Space-group type: I-4 (82)
Excess energy over the best structure of this formula in the dataset, meV per atom: 0
Fermi-level density of states, states/eV/f.u.: 0.0
Uncorrected formation energy, eV per atom: -2.4528
Crystal system: tetragonal

Cell lengths 7.605, 7.605, 7.605 Å; angles 100.15, 100.15, 130.36 degrees
Element x y z (fractional)
K 0.000 0.000 0.000
Sb 0.205 0.520 0.718
Sb 0.480 0.199 0.686
Sb 0.513 0.795 0.314
Sb 0.801 0.487 0.282
F 0.164 0.499 0.131
F 0.189 0.261 0.773
F 0.250 0.750 0.500
F 0.368 0.033 0.869
F 0.465 0.018 0.280
F 0.488 0.416 0.227
F 0.501 0.632 0.665
F 0.584 0.811 0.072
F 0.738 0.185 0.720
F 0.739 0.512 0.928
F 0.815 0.535 0.553
F 0.967 0.836 0.335
F 0.982 0.262 0.447

Entry 2:
A plane-wave DFT calculation with GGA-PBE was carried out for crystalline Ca4P at its relaxed geometry.

Computed properties:
Space-group type: Pm-3m (221)
Excess energy over the best structure of this formula in the dataset, meV per atom: 0
Fermi-level density of states, states/eV/f.u.: 4.2
Crystal system: cubic
Calculated formation energy, meV per atom: -476

Cell lengths 5.664, 5.664, 5.664 Å; angles 90.00, 90.00, 90.00 degrees
Element x y z (fractional)
Ca 0.000 0.000 0.000
Ca 0.000 0.500 0.500
Ca 0.500 0.000 0.500
Ca 0.500 0.500 0.000
P 0.500 0.500 0.500

Entry 3:
A plane-wave DFT calculation with GGA-PBE was carried out for crystalline Ac2InPt3 at its relaxed geometry.

Computed properties:
Space-group type: Pnma (62)
Excess energy over the best structure of this formula in the dataset, meV per atom: 0
Fermi-level density of states, states/eV/f.u.: 2.5
Crystal system: orthorhombic
Calculated formation energy, meV per atom: -964

Cell lengths 7.616, 4.200, 19.619 Å; angles 90.00, 90.00, 90.00 degrees
Element x y z (fractional)
Ac 0.136 0.250 0.081
Ac 0.169 0.250 0.298
Ac 0.331 0.750 0.798
Ac 0.364 0.750 0.581
Ac 0.636 0.250 0.419
Ac 0.669 0.250 0.202
Ac 0.831 0.750 0.702
Ac 0.864 0.750 0.919
In 0.035 0.750 0.438
In 0.465 0.250 0.938
In 0.535 0.750 0.062
In 0.965 0.250 0.562
Pt 0.014 0.250 0.809
Pt 0.153 0.250 0.679
Pt 0.248 0.250 0.466
Pt 0.252 0.750 0.966
Pt 0.347 0.750 0.179
Pt 0.486 0.750 0.309
Pt 0.514 0.250 0.691
Pt 0.653 0.250 0.821
Pt 0.748 0.250 0.034
Pt 0.752 0.750 0.534
Pt 0.847 0.750 0.321
Pt 0.986 0.750 0.191

Entry 4:
A plane-wave DFT calculation with GGA-PBE was carried out for crystalline HfSnIr at its relaxed geometry.

Computed properties:
Space-group type: P-62m (189)
Fermi-level density of states, states/eV/f.u.: 0.8
Crystal system: hexagonal
Calculated formation energy, meV per atom: -693

Cell lengths 7.356, 7.356, 3.692 Å; angles 90.00, 90.00, 120.00 degrees
Element x y z (fractional)
Hf 0.000 0.605 0.000
Hf 0.395 0.395 0.000
Hf 0.605 0.000 0.000
Sn 0.000 0.268 0.500
Sn 0.268 0.000 0.500
Sn 0.732 0.732 0.500
Ir 0.000 0.000 0.000
Ir 0.333 0.667 0.500
Ir 0.667 0.333 0.500

Entry 5:
A plane-wave DFT calculation with GGA-PBE was carried out for crystalline Pm4TePb2Se at its relaxed geometry.

Computed properties:
Space-group type: P2/m (10)
Fermi-level density of states, states/eV/f.u.: 3.1
Uncorrected formation energy, eV per atom: -1.0835
Crystal system: monoclinic

Cell lengths 7.724, 4.434, 7.734 Å; angles 90.00, 109.24, 90.00 degrees
Element x y z (fractional)
Pm 0.241 0.000 0.244
Pm 0.243 0.500 0.751
Pm 0.757 0.500 0.249
Pm 0.759 0.000 0.756
Te 0.500 0.000 0.000
Pb 0.000 0.000 0.500
Pb 0.500 0.500 0.500
Se 0.000 0.500 0.000

Entry 6:
A plane-wave DFT calculation with GGA-PBE was carried out for crystalline SrFeSi2 at its relaxed geometry.

Computed properties:
Space-group type: P4mm (99)
Fermi-level density of states, states/eV/f.u.: 3.4
Uncorrected formation energy, eV per atom: 0.0488
Crystal system: tetragonal

Cell lengths 3.158, 3.158, 7.039 Å; angles 90.00, 90.00, 90.00 degrees
Element x y z (fractional)
Sr 0.000 0.000 0.000
Fe 0.500 0.500 0.344
Si 0.000 0.000 0.459
Si 0.500 0.500 0.670

Entry 7:
A plane-wave DFT calculation with GGA-PBE was carried out for crystalline Mn2TlFe at its relaxed geometry.

Computed properties:
Space-group type: Fm-3m (225)
Excess energy over the best structure of this formula in the dataset, meV per atom: 78
Fermi-level density of states, states/eV/f.u.: 3.4
Crystal system: cubic
Calculated formation energy, meV per atom: 475

Cell lengths 4.408, 4.408, 4.408 Å; angles 60.00, 60.00, 60.00 degrees
Element x y z (fractional)
Mn 0.250 0.250 0.250
Mn 0.750 0.750 0.750
Tl 0.000 0.000 0.000
Fe 0.500 0.500 0.500

Entry 8:
A plane-wave DFT calculation with GGA-PBE was carried out for crystalline Ca3Si2Ge3 at its relaxed geometry.

Computed properties:
Space-group type: Cmcm (63)
Excess energy over the best structure of this formula in the dataset, meV per atom: 36
Fermi-level density of states, states/eV/f.u.: 2.0
Uncorrected formation energy, eV per atom: -0.3475
Crystal system: orthorhombic

Cell lengths 6.440, 6.440, 13.381 Å; angles 90.00, 90.00, 138.21 degrees
Element x y z (fractional)
Ca 0.044 0.956 0.750
Ca 0.141 0.859 0.019
Ca 0.141 0.859 0.481
Ca 0.859 0.141 0.519
Ca 0.859 0.141 0.981
Ca 0.956 0.044 0.250
Si 0.334 0.666 0.662
Si 0.334 0.666 0.838
Si 0.666 0.334 0.162
Si 0.666 0.334 0.338
Ge 0.237 0.763 0.250
Ge 0.471 0.529 0.095
Ge 0.471 0.529 0.405
Ge 0.529 0.471 0.595
Ge 0.529 0.471 0.905
Ge 0.763 0.237 0.750

Entry 9:
A plane-wave DFT calculation with GGA-PBE was carried out for crystalline AcLaPmY2 at its relaxed geometry.

Computed properties:
Space-group type: P2_1/m (11)
Fermi-level density of states, states/eV/f.u.: 8.8
Crystal system: monoclinic
Calculated formation energy, meV per atom: 37

Cell lengths 6.478, 5.953, 9.935 Å; angles 90.00, 108.68, 90.00 degrees
Element x y z (fractional)
Ac 0.070 0.250 0.304
Ac 0.930 0.750 0.696
La 0.136 0.750 0.097
La 0.864 0.250 0.903
Pm 0.336 0.750 0.502
Pm 0.664 0.250 0.498
Y 0.278 0.250 0.706
Y 0.468 0.250 0.097
Y 0.532 0.750 0.903
Y 0.722 0.750 0.294

Entry 10:
A plane-wave DFT calculation with GGA-PBE was carried out for crystalline BeInSeBr2 at its relaxed geometry.

Computed properties:
Space-group type: P4/mmm (123)
Excess energy over the best structure of this formula in the dataset, meV per atom: 686
Fermi-level density of states, states/eV/f.u.: 2.4
Uncorrected formation energy, eV per atom: 0.4177
Crystal system: tetragonal

Cell lengths 5.395, 5.395, 5.656 Å; angles 90.00, 90.00, 90.00 degrees
Element x y z (fractional)
Be 0.000 0.000 0.000
In 0.500 0.500 0.500
Se 0.500 0.500 0.000
Br 0.000 0.500 0.500
Br 0.500 0.000 0.500

Entry 11:
A plane-wave DFT calculation with GGA-PBE was carried out for crystalline MgTcPt2 at its relaxed geometry.

Computed properties:
Space-group type: Cm (8)
Fermi-level density of states, states/eV/f.u.: 2.8
Crystal system: monoclinic
Calculated formation energy, meV per atom: -367

Cell lengths 4.850, 4.850, 4.866 Å; angles 97.78, 97.78, 33.22 degrees
Element x y z (fractional)
Mg 0.000 0.000 0.000
Tc 0.762 0.762 0.324
Pt 0.253 0.253 0.814
Pt 0.503 0.503 0.493

Entry 12:
A plane-wave DFT calculation with GGA-PBE was carried out for crystalline SrCdSb2I at its relaxed geometry.

Computed properties:
Space-group type: P4/mmm (123)
Excess energy over the best structure of this formula in the dataset, meV per atom: 0
Fermi-level density of states, states/eV/f.u.: 5.8
Uncorrected formation energy, eV per atom: -0.1184
Crystal system: tetragonal

Cell lengths 5.476, 5.476, 6.330 Å; angles 90.00, 90.00, 90.00 degrees
Element x y z (fractional)
Sr 0.000 0.000 0.000
Cd 0.500 0.500 0.500
Sb 0.000 0.500 0.500
Sb 0.500 0.000 0.500
I 0.500 0.500 0.000

Entry 13:
A plane-wave DFT calculation with GGA-PBE was carried out for crystalline MgPdSe at its relaxed geometry.

Computed properties:
Space-group type: P1 (1)
Fermi-level density of states, states/eV/f.u.: 0.1
Uncorrected formation energy, eV per atom: -0.6050
Crystal system: triclinic

Cell lengths 3.778, 4.758, 7.007 Å; angles 102.38, 90.05, 113.25 degrees
Element x y z (fractional)
Mg 0.000 0.000 0.000
Mg 0.010 0.003 0.501
Pd 0.414 0.646 0.675
Pd 0.770 0.359 0.324
Se 0.360 0.763 0.215
Se 0.598 0.242 0.788

Entry 14:
A plane-wave DFT calculation with GGA-PBE was carried out for crystalline Sr2YSb at its relaxed geometry.

Computed properties:
Space-group type: P4/mmm (123)
Fermi-level density of states, states/eV/f.u.: 6.0
Uncorrected formation energy, eV per atom: -0.2809
Crystal system: tetragonal

Cell lengths 3.943, 3.943, 9.887 Å; angles 90.00, 90.00, 90.00 degrees
Element x y z (fractional)
Sr 0.000 0.000 0.199
Sr 0.000 0.000 0.801
Y 0.500 0.500 0.500
Sb 0.500 0.500 0.000

Entry 15:
A plane-wave DFT calculation with GGA-PBE was carried out for crystalline Cd3Hg8Bi2 at its relaxed geometry.

Computed properties:
Space-group type: C2/m (12)
Fermi-level density of states, states/eV/f.u.: 5.3
Crystal system: monoclinic
Calculated formation energy, meV per atom: 76

Cell lengths 8.236, 8.236, 5.997 Å; angles 103.60, 103.60, 69.17 degrees
Element x y z (fractional)
Cd 0.000 0.000 0.000
Cd 0.268 0.732 0.500
Cd 0.732 0.268 0.500
Hg 0.028 0.617 0.847
Hg 0.122 0.122 0.663
Hg 0.383 0.972 0.153
Hg 0.407 0.407 0.100
Hg 0.593 0.593 0.900
Hg 0.617 0.028 0.847
Hg 0.878 0.878 0.337
Hg 0.972 0.383 0.153
Bi 0.326 0.326 0.545
Bi 0.674 0.674 0.455

Entry 16:
A plane-wave DFT calculation with GGA-PBE was carried out for crystalline NaVIn2Te at its relaxed geometry.

Computed properties:
Space-group type: P4/mmm (123)
Fermi-level density of states, states/eV/f.u.: 8.0
Uncorrected formation energy, eV per atom: 1.1422
Crystal system: tetragonal

Cell lengths 5.338, 5.338, 5.124 Å; angles 90.00, 90.00, 90.00 degrees
Element x y z (fractional)
Na 0.000 0.000 0.000
V 0.000 0.000 0.500
In 0.000 0.500 0.000
In 0.500 0.000 0.000
Te 0.500 0.500 0.500

Entry 17:
A plane-wave DFT calculation with GGA-PBE was carried out for crystalline Cd3Mo at its relaxed geometry.

Computed properties:
Space-group type: Pm-3n (223)
Excess energy over the best structure of this formula in the dataset, meV per atom: 382
Fermi-level density of states, states/eV/f.u.: 2.8
Crystal system: cubic
Calculated formation energy, meV per atom: 660

Cell lengths 5.523, 5.523, 5.523 Å; angles 90.00, 90.00, 90.00 degrees
Element x y z (fractional)
Cd 0.000 0.250 0.500
Cd 0.000 0.750 0.500
Cd 0.250 0.500 0.000
Cd 0.500 0.000 0.250
Cd 0.500 0.000 0.750
Cd 0.750 0.500 0.000
Mo 0.000 0.000 0.000
Mo 0.500 0.500 0.500

Entry 18:
A plane-wave DFT calculation with GGA-PBE was carried out for crystalline BeOs3Pb at its relaxed geometry.

Computed properties:
Space-group type: Pm-3m (221)
Excess energy over the best structure of this formula in the dataset, meV per atom: 2462
Fermi-level density of states, states/eV/f.u.: 4.5
Crystal system: cubic
Calculated formation energy, meV per atom: 3423

Cell lengths 4.955, 4.955, 4.955 Å; angles 90.00, 90.00, 90.00 degrees
Element x y z (fractional)
Be 0.000 0.000 0.000
Os 0.000 0.500 0.500
Os 0.500 0.000 0.500
Os 0.500 0.500 0.000
Pb 0.500 0.500 0.500

Entry 19:
A plane-wave DFT calculation with GGA-PBE was carried out for crystalline LiCu4 at its relaxed geometry.

Computed properties:
Space-group type: P2_1/c (14)
Excess energy over the best structure of this formula in the dataset, meV per atom: 30
Fermi-level density of states, states/eV/f.u.: 1.2
Crystal system: monoclinic
Calculated formation energy, meV per atom: -7

Cell lengths 4.590, 4.217, 6.897 Å; angles 90.00, 114.91, 90.00 degrees
Element x y z (fractional)
Li 0.000 0.000 0.000
Li 0.000 0.500 0.500
Cu 0.203 0.005 0.400
Cu 0.203 0.495 0.900
Cu 0.399 0.506 0.298
Cu 0.399 0.994 0.798
Cu 0.601 0.006 0.202
Cu 0.601 0.494 0.702
Cu 0.797 0.505 0.100
Cu 0.797 0.995 0.600

Entry 20:
A plane-wave DFT calculation with GGA-PBE was carried out for crystalline RbPb3O3 at its relaxed geometry.

Computed properties:
Space-group type: R-3 (148)
Uncorrected formation energy, eV per atom: -0.9839
Crystal system: trigonal

Cell lengths 10.513, 10.513, 10.513 Å; angles 35.46, 35.46, 35.46 degrees
Element x y z (fractional)
Rb 0.170 0.170 0.170
Rb 0.830 0.830 0.830
Pb 0.075 0.730 0.363
Pb 0.270 0.637 0.925
Pb 0.363 0.075 0.730
Pb 0.637 0.925 0.270
Pb 0.730 0.363 0.075
Pb 0.925 0.270 0.637
O 0.069 0.406 0.805
O 0.195 0.931 0.594
O 0.406 0.805 0.069
O 0.594 0.195 0.931
O 0.805 0.069 0.406
O 0.931 0.594 0.195

| no. | total magnetization (μB per cell) | final energy (eV per atom) |
| --- | --- | --- |
| 1 | 0.000 | -4.7814 |
| 2 | 1.022 | -3.1596 |
| 3 | 0.000 | -5.8102 |
| 4 | 0.000 | -8.2983 |
| 5 | 0.000 | -5.2142 |
| 6 | 0.296 | -5.1988 |
| 7 | 8.398 | -6.8169 |
| 8 | 0.000 | -4.1854 |
| 9 | 0.000 | -5.3063 |
| 10 | 0.449 | -2.2412 |
| 11 | 0.009 | -6.3774 |
| 12 | 0.000 | -2.5968 |
| 13 | 0.000 | -4.0290 |
| 14 | 0.354 | -3.7684 |
| 15 | 0.000 | -0.9179 |
| 16 | 0.194 | -2.6691 |
| 17 | 5.376 | -2.7336 |
| 18 | 3.994 | -4.8019 |
| 19 | 0.000 | -3.6663 |
| 20 | 0.000 | -4.8363 |